(1)
The following is a GGA-PBE calculation of a relaxed structure of Cs4AgP2Au, from OQMD via LeMat-Bulk.

Geometry as POSCAR:
```
Cs4AgP2Au
1.0
7.857 0.000 0.000
0.000 11.027 0.000
-0.009 0.000 6.680
Cs Ag P Au
8 2 4 2
direct
0.147 0.171 0.248
0.147 0.829 0.248
0.353 0.329 0.752
0.353 0.671 0.752
0.647 0.329 0.248
0.647 0.671 0.248
0.853 0.171 0.752
0.853 0.829 0.752
0.000 0.500 0.500
0.500 0.000 0.500
0.227 0.500 0.247
0.273 0.000 0.753
0.727 0.000 0.247
0.773 0.500 0.753
0.000 0.500 0.000
0.500 0.000 0.000
```

Results
VASP energy: -2.915 eV/atom
crystal system: monoclinic

---

(2)
The following is a GGA-PBE calculation of a relaxed structure of CsAgAu2S2, from OQMD via LeMat-Bulk.

Geometry as POSCAR:
```
CsAgAu2S2
1.0
10.338 0.000 0.000
0.000 6.468 0.000
-0.325 0.000 5.624
Cs Ag Au S
2 2 4 4
direct
0.000 0.000 0.000
0.500 0.500 0.000
0.000 0.500 0.500
0.500 0.000 0.500
0.250 0.250 0.500
0.250 0.750 0.500
0.750 0.250 0.500
0.750 0.750 0.500
0.172 0.500 0.225
0.328 0.000 0.775
0.672 0.000 0.225
0.828 0.500 0.775
```

Results
VASP energy: -3.584 eV/atom
crystal system: monoclinic

---

(3)
The following is a GGA-PBE calculation of a relaxed structure of CsAg2AuS2, from OQMD via LeMat-Bulk.

Geometry as POSCAR:
```
CsAg2AuS2
1.0
10.832 0.000 0.000
0.000 6.026 0.000
-0.183 0.000 5.745
Cs Ag Au S
2 4 2 4
direct
0.000 0.000 0.000
0.500 0.500 0.000
0.250 0.250 0.500
0.250 0.750 0.500
0.750 0.250 0.500
0.750 0.750 0.500
0.000 0.500 0.500
0.500 0.000 0.500
0.164 0.500 0.778
0.336 0.000 0.222
0.664 0.000 0.778
0.836 0.500 0.222
```

Results
VASP energy: -3.492 eV/atom
crystal system: monoclinic

---

(4)
The following is a GGA-PBE calculation of a relaxed structure of Cs2AgAuS4, from OQMD via LeMat-Bulk.

Geometry as POSCAR:
```
Cs2AgAuS4
1.0
7.154 0.000 0.000
0.000 6.008 0.000
0.000 0.000 14.381
Cs Ag Au S
4 2 2 8
direct
0.000 0.000 0.000
0.000 0.500 0.500
0.500 0.000 0.361
0.500 0.500 0.861
0.500 0.000 0.677
0.500 0.500 0.177
0.000 0.000 0.682
0.000 0.500 0.182
0.244 0.000 0.570
0.244 0.500 0.070
0.253 0.000 0.789
0.253 0.500 0.289
0.747 0.000 0.789
0.747 0.500 0.289
0.756 0.000 0.570
0.756 0.500 0.070
```

Results
VASP energy: -3.558 eV/atom
crystal system: orthorhombic

---

(5)
The following is a GGA-PBE calculation of a relaxed structure of CsAgSbAu, from OQMD via LeMat-Bulk.

Geometry as POSCAR:
```
CsAgSbAu
1.0
7.671 0.000 0.000
0.000 7.671 0.000
0.000 0.000 7.671
Cs Ag Sb Au
4 4 4 4
direct
0.000 0.000 0.000
0.000 0.500 0.500
0.500 0.000 0.500
0.500 0.500 0.000
0.250 0.250 0.250
0.250 0.750 0.750
0.750 0.250 0.750
0.750 0.750 0.250
0.000 0.000 0.500
0.000 0.500 0.000
0.500 0.000 0.000
0.500 0.500 0.500
0.250 0.250 0.750
0.250 0.750 0.250
0.750 0.250 0.250
0.750 0.750 0.750
```

Results
energy above the lowest structure with this stoichiometry: 0.0000 eV per atom
VASP energy: -2.536 eV/atom
crystal system: cubic

---

(6)
The following is a GGA-PBE calculation of a relaxed structure of Cs4AgSb2Au, from OQMD via LeMat-Bulk.

Geometry as POSCAR:
```
Cs4AgSb2Au
1.0
8.401 0.000 0.000
0.000 11.667 0.000
-0.007 0.000 7.034
Cs Ag Sb Au
8 2 4 2
direct
0.158 0.169 0.253
0.158 0.831 0.253
0.342 0.331 0.747
0.342 0.669 0.747
0.658 0.331 0.253
0.658 0.669 0.253
0.842 0.169 0.747
0.842 0.831 0.747
0.000 0.500 0.000
0.500 0.000 0.000
0.245 0.500 0.252
0.255 0.000 0.748
0.745 0.000 0.252
0.755 0.500 0.748
0.000 0.500 0.500
0.500 0.000 0.500
```

Results
VASP energy: -2.677 eV/atom
crystal system: monoclinic

---

(7)
The following is a GGA-PBE calculation of a relaxed structure of CsAgSbAu, from OQMD via LeMat-Bulk.

Geometry as POSCAR:
```
CsAgSbAu
1.0
7.630 0.000 0.000
0.000 7.630 0.000
0.000 0.000 7.630
Cs Ag Sb Au
4 4 4 4
direct
0.000 0.000 0.000
0.000 0.500 0.500
0.500 0.000 0.500
0.500 0.500 0.000
0.250 0.250 0.750
0.250 0.750 0.250
0.750 0.250 0.250
0.750 0.750 0.750
0.250 0.250 0.250
0.250 0.750 0.750
0.750 0.250 0.750
0.750 0.750 0.250
0.000 0.000 0.500
0.000 0.500 0.000
0.500 0.000 0.000
0.500 0.500 0.500
```

Results
energy above the lowest structure with this stoichiometry: 0.1342 eV per atom
VASP energy: -2.402 eV/atom
crystal system: cubic

---

(8)
The following is a GGA-PBE calculation of a relaxed structure of CsAgSbAu, from OQMD via LeMat-Bulk.

Geometry as POSCAR:
```
CsAgSbAu
1.0
7.719 0.000 0.000
0.000 7.719 0.000
0.000 0.000 7.719
Cs Ag Sb Au
4 4 4 4
direct
0.000 0.000 0.000
0.000 0.500 0.500
0.500 0.000 0.500
0.500 0.500 0.000
0.000 0.000 0.500
0.000 0.500 0.000
0.500 0.000 0.000
0.500 0.500 0.500
0.250 0.250 0.250
0.250 0.750 0.750
0.750 0.250 0.750
0.750 0.750 0.250
0.250 0.250 0.750
0.250 0.750 0.250
0.750 0.250 0.250
0.750 0.750 0.750
```

Results
energy above the lowest structure with this stoichiometry: 0.1758 eV per atom
VASP energy: -2.360 eV/atom
crystal system: cubic

---

(9)
The following is a GGA-PBE calculation of a relaxed structure of Cs2AgTe2Au, from OQMD via LeMat-Bulk.

Geometry as POSCAR:
```
Cs2AgTe2Au
1.0
4.832 0.000 0.000
-2.416 4.185 0.000
0.000 0.000 11.179
Cs Ag Te Au
2 1 2 1
direct
0.000 0.000 0.250
0.000 0.000 0.750
0.333 0.667 0.000
0.333 0.667 0.500
0.667 0.333 0.000
0.667 0.333 0.500
```

Results
VASP energy: -3.034 eV/atom
crystal system: hexagonal

---

(10)
The following is a GGA-PBE calculation of a relaxed structure of CuAgAu, from OQMD via LeMat-Bulk.

Geometry as POSCAR:
```
CuAgAu
1.0
5.567 0.000 0.000
0.000 4.208 0.000
0.000 0.000 8.148
Cu Ag Au
4 4 4
direct
0.174 0.250 0.099
0.326 0.750 0.599
0.674 0.250 0.401
0.826 0.750 0.901
0.061 0.250 0.774
0.439 0.750 0.274
0.561 0.250 0.726
0.939 0.750 0.226
0.168 0.250 0.430
0.332 0.750 0.930
0.668 0.250 0.070
0.832 0.750 0.570
```

Results
energy above the lowest structure with this stoichiometry: 0.0000 eV per atom
ΔH_f (0 K): 0.00 eV per atom
VASP energy: -3.270 eV/atom
crystal system: orthorhombic

---

(11)
The following is a GGA-PBE calculation of a relaxed structure of CuAgAu, from OQMD via LeMat-Bulk.

Geometry as POSCAR:
```
CuAgAu
1.0
5.723 0.000 0.000
0.000 3.960 0.000
0.000 0.000 8.419
Cu Ag Au
4 4 4
direct
0.130 0.250 0.082
0.370 0.750 0.582
0.630 0.250 0.418
0.870 0.750 0.918
0.105 0.250 0.757
0.395 0.750 0.257
0.605 0.250 0.743
0.895 0.750 0.243
0.144 0.250 0.421
0.356 0.750 0.921
0.644 0.250 0.079
0.856 0.750 0.579
```

Results
energy above the lowest structure with this stoichiometry: 0.0036 eV per atom
ΔH_f (0 K): 0.00 eV per atom
VASP energy: -3.267 eV/atom
crystal system: orthorhombic

---

(12)
The following is a GGA-PBE calculation of a relaxed structure of CuAgAu2, from OQMD via LeMat-Bulk.

Geometry as POSCAR:
```
CuAgAu2
1.0
6.448 0.000 0.000
0.000 6.448 0.000
0.000 0.000 6.448
Cu Ag Au
4 4 8
direct
0.000 0.000 0.000
0.000 0.500 0.500
0.500 0.000 0.500
0.500 0.500 0.000
0.250 0.250 0.750
0.250 0.750 0.250
0.750 0.250 0.250
0.750 0.750 0.750
0.000 0.000 0.500
0.000 0.500 0.000
0.250 0.250 0.250
0.250 0.750 0.750
0.500 0.000 0.000
0.500 0.500 0.500
0.750 0.250 0.750
0.750 0.750 0.250
```

Results
ΔH_f (0 K): 0.02 eV per atom
VASP energy: -3.244 eV/atom
crystal system: cubic

---

(13)
The following is a GGA-PBE calculation of a relaxed structure of CuAg2Au, from OQMD via LeMat-Bulk.

Geometry as POSCAR:
```
CuAg2Au
1.0
6.430 0.000 0.000
0.000 6.430 0.000
0.000 0.000 6.430
Cu Ag Au
4 8 4
direct
0.000 0.000 0.000
0.000 0.500 0.500
0.500 0.000 0.500
0.500 0.500 0.000
0.000 0.000 0.500
0.000 0.500 0.000
0.250 0.250 0.250
0.250 0.750 0.750
0.500 0.000 0.000
0.500 0.500 0.500
0.750 0.250 0.750
0.750 0.750 0.250
0.250 0.250 0.750
0.250 0.750 0.250
0.750 0.250 0.250
0.750 0.750 0.750
```

Results
ΔH_f (0 K): 0.04 eV per atom
VASP energy: -3.119 eV/atom
crystal system: cubic

---

(14)
The following is a GGA-PBE calculation of a relaxed structure of Cu2AgAu, from OQMD via LeMat-Bulk.

Geometry as POSCAR:
```
Cu2AgAu
1.0
6.245 0.000 0.000
0.000 6.245 0.000
0.000 0.000 6.245
Cu Ag Au
8 4 4
direct
0.000 0.000 0.000
0.000 0.500 0.500
0.250 0.250 0.250
0.250 0.750 0.750
0.500 0.000 0.500
0.500 0.500 0.000
0.750 0.250 0.750
0.750 0.750 0.250
0.000 0.000 0.500
0.000 0.500 0.000
0.500 0.000 0.000
0.500 0.500 0.500
0.250 0.250 0.750
0.250 0.750 0.250
0.750 0.250 0.250
0.750 0.750 0.750
```

Results
ΔH_f (0 K): 0.08 eV per atom
VASP energy: -3.300 eV/atom
crystal system: cubic

---

(15)
The following is a GGA-PBE calculation of a relaxed structure of CuAgGeAu, from OQMD via LeMat-Bulk.

Geometry as POSCAR:
```
CuAgGeAu
1.0
6.449 0.000 0.000
0.000 6.449 0.000
0.000 0.000 6.449
Cu Ag Ge Au
4 4 4 4
direct
0.000 0.000 0.000
0.000 0.500 0.500
0.500 0.000 0.500
0.500 0.500 0.000
0.250 0.250 0.250
0.250 0.750 0.750
0.750 0.250 0.750
0.750 0.750 0.250
0.250 0.250 0.750
0.250 0.750 0.250
0.750 0.250 0.250
0.750 0.750 0.750
0.000 0.000 0.500
0.000 0.500 0.000
0.500 0.000 0.000
0.500 0.500 0.500
```

Results
energy above the lowest structure with this stoichiometry: 0.0000 eV per atom
VASP energy: -3.520 eV/atom
crystal system: cubic